(1)
PBE NiSe3I, optimized geometry; crystal system = cubic; formation energy from raw total energies = 0.36 eV/atom; space-group type = Pm-3m; spin magnetization = 0.00 μB/cell
1.0
-3.952 -2.047 -1.769
2.638 -2.222 -3.323
0.599 -3.716 2.961
I Ni Se
1 1 3
Cartesian
-0.358 -3.993 -1.065 I
0.000 0.000 0.000 Ni
1.319 -1.111 -1.661 Se
0.300 -1.858 1.481 Se
-1.976 -1.023 -0.884 Se

(2)
PBE LiScCu, optimized geometry; crystal system = tetragonal; E_form = -0.06 eV per atom; space-group type = I4mm; spin magnetization = 0.00 μB/cell
1.0
5.082 -0.033 0.038
4.008 3.125 -0.010
1.074 0.413 3.131
Cu Li Sc
1 1 1
Cartesian
9.050 3.078 0.044 Cu
3.888 1.353 2.042 Li
6.318 2.165 1.102 Sc

(3)
PBE YH2SBr, optimized geometry; crystal system = tetragonal; final energy = -3.930 eV per atom; space-group type = P4/mmm; spin magnetization = 0.00 μB/cell
1.0
4.115 0.000 0.000
0.000 5.821 0.000
0.000 0.000 4.115
Y H S Br
1 2 1 1
Cartesian
0.000 0.000 0.000 Y
0.000 0.000 2.058 H
2.058 0.000 0.000 H
2.058 2.910 2.058 S
0.000 2.910 0.000 Br

(4)
PBE CrSiP3, optimized geometry; crystal system = cubic; formation energy from raw total energies = 0.70 eV/atom; space-group type = Pm-3m; spin magnetization = 0.00 μB/cell
1.0
4.436 0.000 0.000
0.000 4.436 0.000
0.000 0.000 4.436
Cr Si P
1 1 3
Cartesian
0.000 0.000 0.000 Cr
2.218 2.218 2.218 Si
0.000 2.218 0.000 P
0.000 0.000 2.218 P
2.218 0.000 0.000 P

(5)
PBE Ca3B2SbPt9, optimized geometry; crystal system = trigonal; formation energy from raw total energies = -0.67 eV/atom; space-group type = P-3m1; spin magnetization = 0.00 μB/cell
1.0
5.835 0.000 0.000
-2.918 5.054 0.000
0.000 0.000 9.261
Ca B Sb Pt
3 2 1 9
Cartesian
0.000 3.369 5.797 Ca
0.000 0.000 0.000 Ca
2.918 1.685 3.464 Ca
0.000 3.369 1.342 B
2.918 1.685 7.919 B
0.000 0.000 4.630 Sb
4.398 0.830 6.709 Pt
2.918 3.394 6.709 Pt
1.437 0.830 6.709 Pt
1.481 4.224 2.551 Pt
0.000 1.659 2.551 Pt
-1.481 4.224 2.551 Pt
2.918 0.000 0.000 Pt
-1.459 2.527 0.000 Pt
1.459 2.527 0.000 Pt